No. 1
Compound: BeAlPt
Source: OQMD
Functional: PBE
Structure: relaxed

The structure in CIF format:
```
data_BeAlPt
_cell_length_a 5.695
_cell_length_b 5.695
_cell_length_c 5.695
_cell_angle_alpha 90.00
_cell_angle_beta 90.00
_cell_angle_gamma 90.00
_symmetry_space_group_name_H-M 'F -4 3 m'
_symmetry_Int_Tables_number 216
_symmetry_space_group_name_Hall 'F -4 2 3'
loop_
_atom_site_label
_atom_site_fract_x
_atom_site_fract_y
_atom_site_fract_z
_atom_site_occupancy
Be1 0.000 0.000 0.000 1
Al1 0.000 0.000 0.500 1
Pt1 0.250 0.250 0.750 1
```

Crystal system: cubic

---

No. 2
Compound: HfFeSiHg
Source: OQMD
Functional: PBE
Structure: relaxed

The structure in CIF format:
```
data_HfFeSiHg
_cell_length_a 6.463
_cell_length_b 6.463
_cell_length_c 6.463
_cell_angle_alpha 90.00
_cell_angle_beta 90.00
_cell_angle_gamma 90.00
_symmetry_space_group_name_H-M 'F -4 3 m'
_symmetry_Int_Tables_number 216
_symmetry_space_group_name_Hall 'F -4 2 3'
loop_
_atom_site_label
_atom_site_fract_x
_atom_site_fract_y
_atom_site_fract_z
_atom_site_occupancy
Hf1 0.000 0.000 0.000 1
Fe1 0.000 0.000 0.500 1
Si1 0.250 0.250 0.250 1
Hg1 0.250 0.250 0.750 1
```

Crystal system: cubic

---

No. 3
Compound: SrFeN3
Source: OQMD
Functional: PBE
Structure: relaxed

The structure in CIF format:
```
data_SrFeN3
_cell_length_a 3.806
_cell_length_b 3.806
_cell_length_c 3.806
_cell_angle_alpha 90.00
_cell_angle_beta 90.00
_cell_angle_gamma 90.00
_symmetry_space_group_name_H-M 'P m -3 m'
_symmetry_Int_Tables_number 221
_symmetry_space_group_name_Hall '-P 4 2 3'
loop_
_atom_site_label
_atom_site_fract_x
_atom_site_fract_y
_atom_site_fract_z
_atom_site_occupancy
Sr1 0.000 0.000 0.000 1
Fe1 0.500 0.500 0.500 1
N1 0.000 0.500 0.500 1
```

Crystal system: cubic

---

No. 4
Compound: TbSm2Ni9
Source: OQMD
Functional: PBE
Structure: relaxed

The structure in CIF format:
```
data_TbSm2Ni9
_cell_length_a 4.9755
_cell_length_b 4.9755
_cell_length_c 24.5432
_cell_angle_alpha 90.00
_cell_angle_beta 90.00
_cell_angle_gamma 120.00
_symmetry_space_group_name_H-M 'R -3 m'
_symmetry_Int_Tables_number 166
_symmetry_space_group_name_Hall '-R 3 2"'
loop_
_atom_site_label
_atom_site_fract_x
_atom_site_fract_y
_atom_site_fract_z
_atom_site_occupancy
Tb1 0.0000 0.0000 0.0000 1
Sm1 0.0000 0.0000 0.1389 1
Ni1 0.0000 0.0000 0.3329 1
Ni2 0.0000 0.0000 0.5000 1
Ni3 0.0003 0.5001 0.0812 1
```

Crystal system: trigonal
Formation enthalpy at 0 K in eV/atom: -0.369

---

No. 5
Compound: TaBeTc
Source: OQMD
Functional: PBE
Structure: relaxed

The structure in CIF format:
```
data_TaBeTc
_cell_length_a 5.925
_cell_length_b 5.925
_cell_length_c 5.925
_cell_angle_alpha 90.00
_cell_angle_beta 90.00
_cell_angle_gamma 90.00
_symmetry_space_group_name_H-M 'F -4 3 m'
_symmetry_Int_Tables_number 216
_symmetry_space_group_name_Hall 'F -4 2 3'
loop_
_atom_site_label
_atom_site_fract_x
_atom_site_fract_y
_atom_site_fract_z
_atom_site_occupancy
Ta1 0.000 0.000 0.000 1
Be1 0.250 0.250 0.750 1
Tc1 0.250 0.250 0.250 1
```

Crystal system: cubic

---

No. 6
Compound: NdSiPO
Source: OQMD
Functional: PBE
Structure: relaxed

The structure in CIF format:
```
data_NdSiPO
_cell_length_a 4.111
_cell_length_b 4.703
_cell_length_c 6.900
_cell_angle_alpha 90.00
_cell_angle_beta 90.00
_cell_angle_gamma 90.00
_symmetry_space_group_name_H-M 'P m c 21'
_symmetry_Int_Tables_number 26
_symmetry_space_group_name_Hall 'P 2c -2'
loop_
_atom_site_label
_atom_site_fract_x
_atom_site_fract_y
_atom_site_fract_z
_atom_site_occupancy
Nd1 0.000 0.209 0.000 1
Si1 0.500 0.308 0.375 1
P1 0.500 0.132 0.698 1
O1 0.000 0.309 0.356 1
```

Crystal system: orthorhombic

---

Listing total DFT energy (no corrections) for the structures above in their given order: -15.22, -23.37, -32.80, -68.59, -23.40, -25.89 eV per formula unit.